Density functional theory data (PBE) for a relaxed structure of Tb6P5Br.

The structure in POSCAR format:
```
Tb6P5Br
1.0
6.9170 0.1755 1.0545
1.7046 5.8915 3.4343
0.1178 0.0709 7.0135
P Tb Br
5 6 1
Direct
0.5000 0.1608 0.6785
0.0000 0.3325 0.3350
0.5000 0.5000 0.0000
0.0000 0.6675 0.6650
0.5000 0.8392 0.3215
0.7393 0.0874 0.3539
0.2607 0.5587 0.3539
0.2605 0.2664 0.0000
0.7395 0.7336 0.0000
0.7393 0.4413 0.6461
0.2607 0.9126 0.6461
0.0000 0.0000 0.0000
```

Output
Its symmetry is C2/m, No. 12. The formation energy without anion corrections comes out at -1.61 eV/atom. The calculation puts the final energy at -75.8 eV per cell.



Density functional theory data (PBE) for a relaxed structure of Ag2AsPbSe4.

The structure in POSCAR format:
```
Ag2AsPbSe4
1.0
-0.7482 -6.4651 4.8008
-3.8903 -3.9415 -5.8937
7.3615 3.3102 -1.3817
Ag As Pb Se
4 2 2 8
Direct
0.5000 0.0000 0.0000
0.5000 0.0000 0.5000
0.0000 0.0000 0.5000
0.5000 0.5000 0.0000
0.5000 0.5000 0.5000
0.0000 0.0000 0.0000
0.0000 0.5000 0.0000
0.0000 0.5000 0.5000
0.2609 0.7712 0.0161
0.7288 0.2391 0.4839
0.2712 0.7609 0.5161
0.7391 0.2288 0.9839
0.7420 0.7583 0.9877
0.7417 0.7580 0.5123
0.2583 0.2420 0.4877
0.2580 0.2417 0.0123
```

Output
Its symmetry is Imma, No. 74. The formation energy without anion corrections comes out at -0.15 eV/atom. The calculation puts the final energy at -58.3 eV per cell.



Density functional theory data (PBE) for a relaxed structure of MgMnNi2.

The structure in POSCAR format:
```
MgMnNi2
1.0
4.7168 0.0055 0.0000
1.9048 4.3151 0.0000
-3.3108 -2.1603 2.5729
Mg Mn Ni
1 1 2
Direct
0.5000 0.5000 0.0000
0.7500 0.2500 0.5000
0.0000 0.0000 0.0000
0.2500 0.7500 0.5000
```

Output
The value obtained for the formation energy is -21.3 meV/atom. Its symmetry is I-4m2, No. 119. The calculation puts the final energy at -22.4 eV per cell.



Density functional theory data (PBE) for a relaxed structure of C3Se5.

The structure in POSCAR format:
```
C3Se5
1.0
-2.5712 0.1268 -1.8889
1.8709 -0.3172 -2.5679
-1.1881 -13.0246 0.7431
C Se
3 5
Direct
0.0000 0.0000 0.5000
0.5000 0.5000 0.2426
0.5000 0.5000 0.7574
0.0000 0.0000 0.0000
0.0000 0.0000 0.2024
0.0000 0.0000 0.7976
0.5000 0.5000 0.3922
0.5000 0.5000 0.6078
```

Output
Its symmetry is P4/mmm, No. 123. The excess energy over the best structure of this formula in the dataset comes out at 507 kJ/mol of formula units. The formation energy without anion corrections comes out at 1.64 eV/atom. The calculation puts the final energy at -32.0 eV per cell.



Density functional theory data (PBE) for a relaxed structure of TlSb2CI.

The structure in POSCAR format:
```
TlSb2CI
1.0
4.9165 0.0000 0.0000
0.0000 4.9165 0.0000
0.0000 0.0000 5.3047
I Sb Tl C
1 2 1 1
Direct
0.0000 0.0000 0.5000
0.0000 0.5000 0.0000
0.5000 0.0000 0.0000
0.5000 0.5000 0.5000
0.0000 0.0000 0.0000
```

Output
Its symmetry is P4/mmm, No. 123. The excess energy over the best structure of this formula in the dataset comes out at 0 kJ/mol of formula units. The formation energy without anion corrections comes out at 0.94 eV/atom. The calculation puts the final energy at -16.7 eV per cell.



Density functional theory data (PBE) for a relaxed structure of GdSc2Ir.

The structure in POSCAR format:
```
GdSc2Ir
1.0
3.2626 0.0000 0.0000
0.0000 3.2626 0.0000
0.0000 0.0000 8.4692
Gd Sc Ir
1 2 1
Direct
0.5000 0.5000 0.5000
0.0000 0.0000 0.8137
0.0000 0.0000 0.1863
0.5000 0.5000 0.0000
```

Output
The value obtained for the formation energy is -480.3 meV/atom. Its symmetry is P4/mmm, No. 123. The excess energy over the best structure of this formula in the dataset comes out at 0 kJ/mol of formula units. The calculation puts the final energy at -37.5 eV per cell.



Density functional theory data (PBE) for a relaxed structure of Y3Th2N4.

The structure in POSCAR format:
```
Y3Th2N4
1.0
3.4419 0.0000 0.8466
1.5214 5.7998 1.2343
-0.1567 0.5183 8.0563
Y Th N
3 2 4
Direct
0.0000 0.0000 0.0000
0.2103 0.3967 0.1827
0.7897 0.6033 0.8173
0.6013 0.1879 0.6095
0.3987 0.8121 0.3905
0.8066 0.0981 0.2888
0.1934 0.9019 0.7112
0.3992 0.3013 0.9002
0.6008 0.6987 0.0998
```

Output
Its symmetry is C2/m, No. 12. The formation energy without anion corrections comes out at -1.38 eV/atom. The calculation puts the final energy at -79.9 eV per cell.



Density functional theory data (PBE) for a relaxed structure of Tm7Sn4Ru.

The structure in POSCAR format:
```
Tm7Sn4Ru
1.0
-2.1294 -3.0045 3.6384
-3.6511 -7.0511 -4.2766
5.3782 -5.7761 2.0607
Tm Sn Ru
7 4 1
Direct
0.7763 0.8654 0.5820
0.2237 0.1346 0.4180
0.0633 0.7242 0.1493
0.9367 0.2758 0.8507
0.3530 0.5634 0.7307
0.5000 0.0000 0.0000
0.6470 0.4366 0.2693
0.5821 0.2239 0.6119
0.4179 0.7761 0.3881
0.7193 0.6499 0.9115
0.2807 0.3501 0.0885
0.0000 0.0000 0.0000
```

Output
The value obtained for the formation energy is -308.1 meV/atom. Its symmetry is C2/m, No. 12. The calculation puts the final energy at -60.3 eV per cell.



Density functional theory data (PBE) for a relaxed structure of TiGa2Rh2.

The structure in POSCAR format:
```
TiGa2Rh2
1.0
-0.4577 6.3681 3.3343
-6.5920 -1.7041 2.3498
1.1624 -1.1769 2.4074
Rh Ga Ti
4 4 2
Direct
0.3560 0.8560 0.0000
0.8560 0.6440 0.0000
0.6440 0.1440 0.0000
0.1440 0.3560 0.0000
0.1545 0.6545 0.5000
0.6545 0.8455 0.5000
0.8455 0.3455 0.5000
0.3455 0.1545 0.5000
0.0000 0.0000 0.0000
0.5000 0.5000 0.0000
```

Output
The value obtained for the formation energy is -558.4 meV/atom. Its symmetry is P4/mbm, No. 127. The excess energy over the best structure of this formula in the dataset comes out at 14 kJ/mol of formula units. The calculation puts the final energy at -62.9 eV per cell.



Density functional theory data (PBE) for a relaxed structure of NaNbTlSe4.

The structure in POSCAR format:
```
NaNbTlSe4
1.0
7.8333 0.0000 -0.0022
0.0000 5.5170 0.0000
-3.0825 0.0000 9.4017
Na Nb Tl Se
2 2 2 8
Direct
0.7901 0.7500 0.4156
0.2099 0.2500 0.5844
0.3314 0.7500 0.3475
0.6686 0.2500 0.6525
0.7673 0.7500 0.9772
0.2327 0.2500 0.0228
0.9513 0.5052 0.7122
0.0487 0.0052 0.2878
0.0487 0.4948 0.2878
0.9513 0.9948 0.7122
0.4487 0.7500 0.1470
0.5513 0.2500 0.8530
0.5176 0.7500 0.6073
0.4824 0.2500 0.3927
```

Output
Its symmetry is P2_1/m, No. 11. The formation energy without anion corrections comes out at -0.64 eV/atom. The calculation puts the final energy at -64.3 eV per cell.



Density functional theory data (PBE) for a relaxed structure of AcCd2AsRh2.

The structure in POSCAR format:
```
AcCd2AsRh2
1.0
-3.1521 -3.4916 0.4955
3.4289 -3.1898 -0.6640
1.0707 -0.1081 6.0486
Ac Cd As Rh
1 2 1 2
Direct
0.0000 0.0000 0.5000
0.5000 0.5000 0.7389
0.5000 0.5000 0.2611
0.0000 0.0000 0.0000
0.5000 0.0000 0.0000
0.0000 0.5000 0.0000
```

Output
The value obtained for the formation energy is -405.9 meV/atom. Its symmetry is P4/mmm, No. 123. The calculation puts the final energy at -27.7 eV per cell.



Density functional theory data (PBE) for a relaxed structure of ZrNb2SnN.

The structure in POSCAR format:
```
ZrNb2SnN
1.0
-4.0942 -1.1098 -0.4808
0.4582 -2.9939 3.0086
-1.2295 3.1126 3.2846
Nb Sn Zr N
2 1 1 1
Direct
0.0000 0.5000 0.0000
0.5000 0.0000 0.0000
0.5000 0.5000 0.5000
0.0000 0.0000 0.5000
0.0000 0.0000 0.0000
```

Output
Its symmetry is P4/mmm, No. 123. The formation energy without anion corrections comes out at -0.59 eV/atom. The calculation puts the final energy at -44.0 eV per cell.



Density functional theory data (PBE) for a relaxed structure of Mn3In2Br8.

The structure in POSCAR format:
```
Mn3In2Br8
1.0
6.7016 0.0834 -1.7970
-0.9433 7.2902 -3.1794
-0.0789 -0.5132 8.9343
Mn In Br
3 2 8
Direct
0.5000 0.0000 0.0000
0.0000 0.2589 0.0000
0.0000 0.7411 0.0000
0.6656 0.7332 0.4664
0.3344 0.2668 0.5336
0.0539 0.3952 0.7904
0.9461 0.6048 0.2096
0.1022 0.9027 0.8054
0.8978 0.0973 0.1946
0.3906 0.8636 0.1937
0.3906 0.3301 0.1937
0.6094 0.6699 0.8063
0.6094 0.1364 0.8063
```

Output
Its symmetry is C2/m, No. 12. The formation energy without anion corrections comes out at -0.73 eV/atom. The calculation puts the final energy at -55.9 eV per cell.



Density functional theory data (PBE) for a relaxed structure of BaSr3Pa2N6.

The structure in POSCAR format:
```
BaSr3Pa2N6
1.0
-2.0750 -3.0713 -0.1919
1.5899 -1.5185 7.1139
-5.7919 6.1072 0.7728
Ba Sr Pa N
1 3 2 6
Direct
0.5000 0.0000 0.0000
0.5000 0.5000 0.0000
0.8293 0.1663 0.6585
0.1707 0.8337 0.3415
0.8308 0.6626 0.6616
0.1692 0.3374 0.3384
0.3247 0.8639 0.6494
0.6861 0.5675 0.3721
0.6753 0.1361 0.3506
0.0371 0.2856 0.0742
0.9629 0.7144 0.9258
0.3139 0.4325 0.6279
```

Output
Its symmetry is C2/m, No. 12. The formation energy without anion corrections comes out at -1.17 eV/atom. The calculation puts the final energy at -89.9 eV per cell.



Density functional theory data (PBE) for a relaxed structure of Al2NiIr.

The structure in POSCAR format:
```
Al2NiIr
1.0
-3.5694 -0.5964 2.2777
2.6301 -4.1621 -4.0541
1.1308 -2.4086 1.1352
Ni Ir Al
1 1 2
Direct
0.5000 0.0000 0.5000
0.5000 0.5000 0.0000
0.0000 0.0000 0.0000
0.0000 0.5000 0.5000
```

Output
The value obtained for the formation energy is -776.7 meV/atom. Its symmetry is Cmmm, No. 65. The calculation puts the final energy at -25.2 eV per cell.



Density functional theory data (PBE) for a relaxed structure of KMnCl3.

The structure in POSCAR format:
```
KMnCl3
1.0
-0.4938 5.2313 5.3784
0.9693 -3.1744 5.1731
8.6778 -3.0857 3.0059
K Mn Cl
2 2 6
Direct
0.4888 0.7017 0.0538
0.4583 0.6140 0.6257
0.0645 0.3783 0.0587
0.0259 0.3667 0.4139
0.2908 0.1628 0.6325
0.7809 0.5790 0.8657
0.7141 0.5151 0.4099
0.0760 0.7013 0.1305
0.3557 0.2848 0.9986
0.0543 0.0230 0.3529
```

Output
Its symmetry is P1, No. 1. The formation energy without anion corrections comes out at -1.43 eV/atom. The calculation puts the final energy at -46.0 eV per cell.



Density functional theory data (PBE) for a relaxed structure of Ta6ReW3.

The structure in POSCAR format:
```
Ta6ReW3
1.0
4.5885 0.0000 0.0000
0.0000 7.6058 -2.3230
0.0000 0.2093 9.7335
Ta Re W
12 2 6
Direct
0.2500 0.4542 0.1004
0.7500 0.5458 0.8996
0.2500 0.1506 0.1993
0.7500 0.8494 0.8007
0.2500 0.6471 0.6966
0.7500 0.3529 0.3034
0.2500 0.2470 0.5019
0.7500 0.7530 0.4981
0.2500 0.8494 0.3038
0.7500 0.1506 0.6962
0.2500 0.0528 0.8965
0.7500 0.9472 0.1035
0.2500 0.9493 0.5998
0.7500 0.0507 0.4002
0.2500 0.5482 0.3993
0.7500 0.4518 0.6007
0.2500 0.3503 0.7999
0.7500 0.6497 0.2001
0.2500 0.7527 0.0000
0.7500 0.2473 0.0000
```

Output
The value obtained for the formation energy is -159.4 meV/atom. Its symmetry is P2_1/m, No. 11. The calculation puts the final energy at -248.0 eV per cell.



Density functional theory data (PBE) for a relaxed structure of Tb3Pm2Y.

The structure in POSCAR format:
```
Tb3Pm2Y
1.0
-1.3871 3.2212 0.2492
-7.8870 -3.8157 5.4202
9.1536 1.4560 7.3300
Tb Pm Y
6 4 2
Direct
0.6947 0.7157 0.3894
0.9307 0.2333 0.8615
0.5592 0.4441 0.1185
0.3053 0.2843 0.6106
0.4408 0.5559 0.8815
0.0693 0.7667 0.1385
0.6918 0.3704 0.3835
0.3082 0.6296 0.6165
0.0684 0.1375 0.1368
0.9316 0.8625 0.8632
0.6880 0.0370 0.3761
0.3120 0.9630 0.6239
```

Output
The value obtained for the formation energy is 118.5 meV/atom. Its symmetry is C2/m, No. 12. The excess energy over the best structure of this formula in the dataset comes out at 16 kJ/mol of formula units. The calculation puts the final energy at -58.3 eV per cell.



Density functional theory data (PBE) for a relaxed structure of AgPdCl3.

The structure in POSCAR format:
```
AgPdCl3
1.0
-5.8313 -2.0283 -2.5361
-3.7325 -10.7462 -0.2193
-9.7178 -1.0868 5.8174
Ag Pd Cl
4 4 12
Direct
0.7500 0.1499 0.8501
0.2500 0.8501 0.1499
0.7500 0.9209 0.0791
0.2500 0.0791 0.9209
0.8783 0.1809 0.3252
0.6217 0.6748 0.8191
0.1217 0.8191 0.6748
0.3783 0.3252 0.1809
0.7834 0.0226 0.3076
0.7166 0.6924 0.9774
0.2166 0.9774 0.6924
0.2834 0.3076 0.0226
0.6967 0.0159 0.6858
0.8033 0.3142 0.9841
0.3033 0.9841 0.3142
0.1967 0.6858 0.0159
0.9470 0.3383 0.3694
0.5530 0.6306 0.6617
0.0530 0.6617 0.6306
0.4470 0.3694 0.3383
```

Output
Its symmetry is C2/c, No. 15. The excess energy over the best structure of this formula in the dataset comes out at 21 kJ/mol of formula units. The formation energy without anion corrections comes out at -0.39 eV/atom. The calculation puts the final energy at -62.2 eV per cell.



Density functional theory data (PBE) for a relaxed structure of Sn2OsCl.

The structure in POSCAR format:
```
Sn2OsCl
1.0
0.3757 -1.7041 4.5729
-4.0297 -0.7096 2.6860
-1.4746 -4.5485 1.0455
Os Sn Cl
1 2 1
Direct
0.5000 0.5000 0.5000
0.2500 0.2500 0.2500
0.7500 0.7500 0.7500
0.0000 0.0000 0.0000
```

Output
Its symmetry is Fm-3m, No. 225. The excess energy over the best structure of this formula in the dataset comes out at 92 kJ/mol of formula units. The formation energy without anion corrections comes out at 0.64 eV/atom. The calculation puts the final energy at -18.5 eV per cell.